Record 1
A relaxed NaCa2AcS4 crystal, computed with PBE.

Output
- Formation energy from raw total energies: -1961 meV per atom

abc: 4.194 7.073 7.204
angles: 108.67 90.00 90.00
Fractional coordinates of all 8 atoms:
Na 0.500 0.500 0.000
Ca 0.500 0.000 0.500
Ca 0.000 0.500 0.500
Ac 0.000 0.000 0.000
S 0.500 0.254 0.259
S 0.500 0.746 0.741
S 0.000 0.242 0.734
S 0.000 0.758 0.266

=====

Record 2
A relaxed NaCaAcSb crystal, computed with PBE.

Output
- Formation energy from raw total energies: -364 meV per atom

abc: 5.692 5.692 5.692
angles: 60.00 60.00 60.00
Fractional coordinates of all 4 atoms:
Sb 0.500 0.500 0.500
Ac 0.750 0.750 0.750
Ca 0.250 0.250 0.250
Na 0.000 0.000 0.000

=====

Record 3
A relaxed NaCaAcSn crystal, computed with PBE.

Output
- Calculated formation energy: -0.333 eV per atom

abc: 5.702 5.702 5.702
angles: 60.00 60.00 60.00
Fractional coordinates of all 4 atoms:
Na 0.750 0.750 0.750
Ac 0.000 0.000 0.000
Ca 0.500 0.500 0.500
Sn 0.250 0.250 0.250

=====

Number 1: calculated volume 25.3 Å³ per atom. Number 2: calculated volume 32.6 Å³ per atom. Number 3: calculated volume 32.8 Å³ per atom.